Entry from Alexandria: a geometry-optimized Gd2TlSb structure (PBE).

abc: 4.0019 4.0019 6.9598
angles: 90.00 90.00 90.00
With the nearest neighbours (Å) after each atom.
Element x y z (fractional)
Sb  0.5000  0.5000  0.0000  8 Gd 3.29, 2 Tl 3.48
Gd  0.0000  0.0000  0.2399  4 Sb 3.29, 2 Gd 3.34-3.62, 4 Tl 3.36
Gd  0.0000  0.0000  0.7601  4 Sb 3.29, 2 Gd 3.34-3.62, 4 Tl 3.36
Tl  0.5000  0.5000  0.5000  8 Gd 3.36, 2 Sb 3.48

The calculation puts the total magnetization at 3.710 μB/atom. The calculated density is 9.54 g cm⁻³. For the uncorrected formation energy, the calculation gives -674.8 meV/atom.